Entry 1:
LiYGe2: optimized geometry, PBE-GGA.

Output
The calculation puts the energy above the most stable polymorph in this dataset at 0.369 eV per atom.

a = 4.5878 Å, b = 4.5878 Å, c = 17.1270 Å
α = 90.00°, β = 90.00°, γ = 90.00°
Last column: nearest neighbours and their distance in Å.
Fractional coordinates of all 16 atoms:
Li1 0.0000 0.0000 0.0000  4 Ge 2.53
Li2 0.0000 0.5000 0.2500  4 Ge 2.53
Li3 0.5000 0.0000 0.7500  4 Ge 2.53
Li4 0.5000 0.5000 0.5000  4 Ge 2.53
Y1 0.0000 0.0000 0.5000  4 Ge 2.90, 4 Li 3.24
Y2 0.0000 0.5000 0.7500  4 Ge 2.90, 4 Li 3.24
Y3 0.5000 0.0000 0.2500  4 Ge 2.90, 4 Li 3.24
Y4 0.5000 0.5000 0.0000  4 Ge 2.90, 4 Li 3.24
Ge1 0.1532 0.2500 0.1250  2 Li 2.53, 2 Ge 2.69
Ge2 0.2500 0.6532 0.3750  2 Li 2.53, 2 Ge 2.69
Ge3 0.2500 0.8468 0.8750  2 Li 2.53, 2 Ge 2.69
Ge4 0.3468 0.2500 0.6250  2 Li 2.53, 2 Ge 2.69
Ge5 0.6532 0.7500 0.6250  2 Li 2.53, 2 Ge 2.69
Ge6 0.7500 0.1532 0.8750  2 Li 2.53, 2 Ge 2.69
Ge7 0.7500 0.3468 0.3750  2 Li 2.53, 2 Ge 2.69
Ge8 0.8468 0.7500 0.1250  2 Li 2.53, 2 Ge 2.69

Entry 2:
HfV3Bi: optimized geometry, PBE-GGA.

Output
The calculation puts the energy above the most stable polymorph in this dataset at 0.215 eV per atom.

a = 4.8779 Å, b = 4.8779 Å, c = 4.8779 Å
α = 90.00°, β = 90.00°, γ = 90.00°
Last column: nearest neighbours and their distance in Å.
Fractional coordinates of all 5 atoms:
Hf1 0.0000 0.0000 0.0000  12 V 3.45
V1 0.0000 0.5000 0.5000  2 Bi 2.44
V2 0.5000 0.0000 0.5000  2 Bi 2.44
V3 0.5000 0.5000 0.0000  2 Bi 2.44
Bi1 0.5000 0.5000 0.5000  6 V 2.44

Entry 3:
ZrHgSe2: optimized geometry, PBE-GGA.

Output
The calculation puts the energy above the most stable polymorph in this dataset at 0.157 eV per atom. The value obtained for the formation energy without anion corrections is -0.83 eV per atom.

a = 6.8286 Å, b = 3.7417 Å, c = 7.6438 Å
α = 90.00°, β = 102.61°, γ = 90.00°
Last column: nearest neighbours and their distance in Å.
Fractional coordinates of all 8 atoms:
Zr1 0.1023 0.2500 0.2644  6 Se 2.75-2.87
Zr2 0.8977 0.7500 0.7356  6 Se 2.75-2.87
Hg1 0.4597 0.7500 0.2230  4 Se 2.96-3.23, 2 Zr 3.15
Hg2 0.5403 0.2500 0.7770  4 Se 2.96-3.23, 2 Zr 3.15
Se1 0.1647 0.2500 0.9097  3 Zr 2.75-2.84, 1 Hg 2.96
Se2 0.2061 0.7500 0.5339  3 Zr 2.76-2.87
Se3 0.7939 0.2500 0.4661  3 Zr 2.76-2.87
Se4 0.8353 0.7500 0.0903  3 Zr 2.75-2.84, 1 Hg 2.96

Entry 4:
AcLaCuAs: optimized geometry, PBE-GGA.

a = 7.5183 Å, b = 7.5183 Å, c = 7.5183 Å
α = 90.00°, β = 90.00°, γ = 90.00°
Last column: nearest neighbours and their distance in Å.
Fractional coordinates of all 16 atoms:
Ac1 0.0000 0.0000 0.0000  4 As 3.26, 4 Cu 3.26
Ac2 0.0000 0.5000 0.5000  4 As 3.26, 4 Cu 3.26
Ac3 0.5000 0.0000 0.5000  4 As 3.26, 4 Cu 3.26
Ac4 0.5000 0.5000 0.0000  4 As 3.26, 4 Cu 3.26
La1 0.0000 0.0000 0.5000  4 Cu 3.26, 4 As 3.26
La2 0.0000 0.5000 0.0000  4 Cu 3.26, 4 As 3.26
La3 0.5000 0.0000 0.0000  4 Cu 3.26, 4 As 3.26
La4 0.5000 0.5000 0.5000  4 Cu 3.26, 4 As 3.26
Cu1 0.2500 0.2500 0.7500  4 Ac 3.26, 4 La 3.26
Cu2 0.2500 0.7500 0.2500  4 Ac 3.26, 4 La 3.26
Cu3 0.7500 0.2500 0.2500  4 Ac 3.26, 4 La 3.26
Cu4 0.7500 0.7500 0.7500  4 Ac 3.26, 4 La 3.26
As1 0.2500 0.2500 0.2500  4 Ac 3.26, 4 La 3.26
As2 0.2500 0.7500 0.7500  4 Ac 3.26, 4 La 3.26
As3 0.7500 0.2500 0.7500  4 Ac 3.26, 4 La 3.26
As4 0.7500 0.7500 0.2500  4 Ac 3.26, 4 La 3.26

| no. | calculated total energy (eV/atom) | DOS at the Fermi energy (states/eV/f.u.) |
| --- | --- | --- |
| 1 | -4.66 | 0.57 |
| 2 | -6.57 | 5.95 |
| 3 | -4.79 | 0.30 |
| 4 | -5.04 | 3.68 |